First-principles (PBE+U) data for a relaxed structure of CrPO5, as listed in Alexandria via LeMat-Bulk.

Magnetic moment ... 0.97 μB/f.u.
Space-group type ... P4/n
Volume ... 194.6 Å³ per cell
Offset from the most stable computed form ... 0 meV/atom
Fermi-level density of states ... 0.00 states/eV per cell

Cell lengths 5.8890, 5.8890, 5.6101 Å; angles 90.00, 90.00, 90.00 degrees
Fractional positions:
Cr: 0.2500 0.2500 0.2458
Cr: 0.7500 0.7500 0.7542
P: 0.2500 0.7500 0.0000
P: 0.7500 0.2500 0.0000
O: 0.0513 0.8251 0.8383
O: 0.1749 0.5513 0.1617
O: 0.2500 0.2500 0.5266
O: 0.3251 0.9487 0.1617
O: 0.4487 0.6749 0.8383
O: 0.5513 0.3251 0.1617
O: 0.6749 0.0513 0.8383
O: 0.7500 0.7500 0.4734
O: 0.8251 0.4487 0.8383
O: 0.9487 0.1749 0.1617